No. 1
# NdLuIn2, relaxed, DFT GGA-PBE
data_NdLuIn2
_chemical_formula_sum 'Nd1 Lu1 In2'
_symmetry_space_group_name_H-M 'P 4/m m m'
_symmetry_Int_Tables_number 123
_symmetry_space_group_name_Hall '-P 4 2'
_cell_length_a 3.774
_cell_length_b 3.774
_cell_length_c 7.618
_cell_angle_alpha 90.00
_cell_angle_beta 90.00
_cell_angle_gamma 90.00
loop_
_atom_site_label
_atom_site_fract_x
_atom_site_fract_y
_atom_site_fract_z
Nd1 0.000 0.000 0.000
Lu1 0.000 0.000 0.500
In1 0.500 0.500 0.268
# Formation enthalpy at 0 K (meV/atom): -452
# V (Å³ per cell): 109
# Magnetization (μB/f.u.): 0.0
# Distance to the lowest polymorph of the same formula (eV/atom): 0.000



No. 2
# Nd2LuIn, relaxed, DFT GGA-PBE
data_Nd2LuIn
_chemical_formula_sum 'Nd8 Lu4 In4'
_symmetry_space_group_name_H-M 'F m -3 m'
_symmetry_Int_Tables_number 225
_symmetry_space_group_name_Hall '-F 4 2 3'
_cell_length_a 7.830
_cell_length_b 7.830
_cell_length_c 7.830
_cell_angle_alpha 90.00
_cell_angle_beta 90.00
_cell_angle_gamma 90.00
loop_
_atom_site_label
_atom_site_fract_x
_atom_site_fract_y
_atom_site_fract_z
Nd1 0.250 0.250 0.250
Lu1 0.000 0.000 0.000
In1 0.000 0.000 0.500
# Formation enthalpy at 0 K (meV/atom): -164
# V (Å³ per cell): 480
# Magnetization (μB/f.u.): 0.0
# Distance to the lowest polymorph of the same formula (eV/atom): 0.025



No. 3
# NdLuIn, relaxed, DFT GGA-PBE
data_NdLuIn
_chemical_formula_sum 'Nd2 Lu2 In2'
_symmetry_space_group_name_H-M 'I 4 m m'
_symmetry_Int_Tables_number 107
_symmetry_space_group_name_Hall 'I 4 -2'
_cell_length_a 3.583
_cell_length_b 3.583
_cell_length_c 13.690
_cell_angle_alpha 90.00
_cell_angle_beta 90.00
_cell_angle_gamma 90.00
loop_
_atom_site_label
_atom_site_fract_x
_atom_site_fract_y
_atom_site_fract_z
Nd1 0.000 0.000 0.000
Lu1 0.000 0.000 0.690
In1 0.000 0.000 0.336
# Formation enthalpy at 0 K (meV/atom): -288
# V (Å³ per cell): 176
# Magnetization (μB/f.u.): 0.0
# Distance to the lowest polymorph of the same formula (eV/atom): 0.000



No. 4
# NdLu2In, relaxed, DFT GGA-PBE
data_NdLu2In
_chemical_formula_sum 'Nd1 Lu2 In1'
_symmetry_space_group_name_H-M 'P 4/m m m'
_symmetry_Int_Tables_number 123
_symmetry_space_group_name_Hall '-P 4 2'
_cell_length_a 4.853
_cell_length_b 4.853
_cell_length_c 4.809
_cell_angle_alpha 90.00
_cell_angle_beta 90.00
_cell_angle_gamma 90.00
loop_
_atom_site_label
_atom_site_fract_x
_atom_site_fract_y
_atom_site_fract_z
Nd1 0.000 0.000 0.000
Lu1 0.000 0.500 0.500
In1 0.500 0.500 0.000
# Formation enthalpy at 0 K (meV/atom): -249
# V (Å³ per cell): 113
# Magnetization (μB/f.u.): 0.0
# Distance to the lowest polymorph of the same formula (eV/atom): 0.000



No. 5
# NdLuIn4, relaxed, DFT GGA-PBE
data_NdLuIn4
_chemical_formula_sum 'Nd4 Lu4 In16'
_symmetry_space_group_name_H-M 'F -4 3 m'
_symmetry_Int_Tables_number 216
_symmetry_space_group_name_Hall 'F -4 2 3'
_cell_length_a 8.522
_cell_length_b 8.522
_cell_length_c 8.522
_cell_angle_alpha 90.00
_cell_angle_beta 90.00
_cell_angle_gamma 90.00
loop_
_atom_site_label
_atom_site_fract_x
_atom_site_fract_y
_atom_site_fract_z
Nd1 0.000 0.000 0.000
Lu1 0.250 0.250 0.250
In1 0.125 0.125 0.625
# Formation enthalpy at 0 K (meV/atom): -314
# V (Å³ per cell): 619
# Magnetization (μB/f.u.): 0.0



No. 6
# NdLu2In, relaxed, DFT GGA-PBE
data_NdLu2In
_chemical_formula_sum 'Nd4 Lu8 In4'
_symmetry_space_group_name_H-M 'F m -3 m'
_symmetry_Int_Tables_number 225
_symmetry_space_group_name_Hall '-F 4 2 3'
_cell_length_a 7.672
_cell_length_b 7.672
_cell_length_c 7.672
_cell_angle_alpha 90.00
_cell_angle_beta 90.00
_cell_angle_gamma 90.00
loop_
_atom_site_label
_atom_site_fract_x
_atom_site_fract_y
_atom_site_fract_z
Nd1 0.000 0.000 0.000
Lu1 0.250 0.250 0.250
In1 0.000 0.000 0.500
# Formation enthalpy at 0 K (meV/atom): -55
# V (Å³ per cell): 451
# Magnetization (μB/f.u.): 1.6
# Distance to the lowest polymorph of the same formula (eV/atom): 0.194